# KTlCu2Cl

A relaxed KTlCu2Cl crystal (PBE, Alexandria).

Values from the calculation:
**Formation energy from raw total energies**: 19.32 kcal/mol of atoms
**Mass density**: 2.66 g/cm3
**Total magnetic moment**: 0.000 μB/atom

a b c (Å): 5.3764 5.3764 8.7625
angles (deg): 90.00 90.00 90.00
With the nearest neighbours (Å) after each atom.
Space group P4/mmm (No. 123)
Symmetry-distinct sites (fractional):
K 0.0000 0.0000 0.0000 [1 per cell]  4 Cu 2.69
Tl 0.0000 0.0000 0.5000 [1 per cell]  4 Cl 3.80
Cu 0.0000 0.5000 0.0000 [2 per cell]  2 K 2.69
Cl 0.5000 0.5000 0.5000 [1 per cell]  4 Tl 3.80